No. 1
DFT (PBE-GGA) results for a geometry-optimized InGaAu structure.

```
InGaAu
1.0
-3.802 -2.566 -0.070
0.017 -4.177 1.897
-2.322 -0.766 3.882
Au In Ga
1 1 1
direct
0.250 0.250 0.250
0.000 0.000 0.000
0.500 0.500 0.500
```

Values from the calculation:
The formation energy comes out at -0.209 eV/atom. The space group is No. 216.



No. 2
DFT (PBE-GGA) results for a geometry-optimized NaTcAg2O4 structure.

```
NaTcAg2O4
1.0
-0.677 -4.866 4.819
6.148 -2.076 2.290
-2.010 6.345 1.574
O Tc Ag Na
8 2 4 2
direct
0.788 0.352 0.588
0.852 0.288 0.088
0.152 0.092 0.894
0.212 0.648 0.412
0.408 0.348 0.606
0.848 0.908 0.106
0.148 0.712 0.912
0.592 0.652 0.394
0.000 0.000 0.000
0.500 0.500 0.500
0.500 0.000 0.000
0.000 0.000 0.500
0.500 0.000 0.500
0.500 0.500 0.000
0.000 0.500 0.000
0.000 0.500 0.500
```

Values from the calculation:
For the formation energy (no corrections), the calculation gives -0.77 eV per atom. The space group is No. 15.



Volume for every record listed, in sequence, given in A^3/atom: 22.753 15.586.